Compound: Si2TcCl
Source: the Alexandria database
Functional: PBE
Structure: optimized geometry

Cell: 2.9665 2.9665 27.7149 Å, 90.00 90.00 120.00°
Space group R3m (No. 160, hexagonal axes)
Inequivalent atoms, fractional coordinates:
Si (0.0000, 0.0000, 0.0000) (multiplicity 3)
Si (0.0000, 0.0000, 0.2600) (multiplicity 3)
Tc (0.0000, 0.0000, 0.7327) (multiplicity 3)
Cl (0.0000, 0.0000, 0.4650) (multiplicity 3)

Calculated values
crystal system: trigonal


Compound: SiTcCl2
Source: the Alexandria database
Functional: PBE
Structure: optimized geometry

Cell: 3.0568 3.0568 33.0340 Å, 90.00 90.00 120.00°
Space group R-3m (No. 166, hexagonal axes)
Inequivalent atoms, fractional coordinates:
Si (0.0000, 0.0000, 0.0000) (multiplicity 3)
Tc (0.0000, 0.0000, 0.5000) (multiplicity 3)
Cl (0.0000, 0.0000, 0.1149) (multiplicity 6)

Calculated values
crystal system: trigonal


Compound: SiTc2Cl
Source: the Alexandria database
Functional: PBE
Structure: optimized geometry

Cell: 3.064 3.106 6.785 Å, 90.00 90.00 90.00°
Space group Pmmm (No. 47)
Inequivalent atoms, fractional coordinates:
Si (0.000, 0.000, 0.000) (multiplicity 1)
Tc (0.500, 0.500, 0.185) (multiplicity 2)
Cl (0.000, 0.500, 0.500) (multiplicity 1)

Calculated values
crystal system: orthorhombic


Compound: Si2TcCl
Source: the Alexandria database
Functional: PBE
Structure: optimized geometry

Cell: 3.026 3.851 12.730 Å, 90.00 90.00 90.00°
Space group Imm2 (No. 44)
Inequivalent atoms, fractional coordinates:
Si (0.000, 0.000, 0.000) (multiplicity 2)
Si (0.000, 0.500, 0.162) (multiplicity 2)
Tc (0.000, 0.500, 0.649) (multiplicity 2)
Cl (0.000, 0.000, 0.373) (multiplicity 2)

Calculated values
crystal system: orthorhombic


Compound: SiTc2Cl
Source: the Alexandria database
Functional: PBE
Structure: optimized geometry

Cell: 5.534 5.534 9.863 Å, 90.00 90.00 90.00°
Space group I-42d (No. 122)
Inequivalent atoms, fractional coordinates:
Si (0.000, 0.000, 0.000) (multiplicity 4)
Tc (0.239, 0.250, 0.625) (multiplicity 8)
Cl (0.000, 0.000, 0.500) (multiplicity 4)

Calculated values
crystal system: tetragonal


Compound: SiTcCl
Source: the Alexandria database
Functional: PBE
Structure: optimized geometry

Cell: 6.005 6.005 6.005 Å, 90.00 90.00 90.00°
Space group F-43m (No. 216)
Inequivalent atoms, fractional coordinates:
Si (0.000, 0.000, 0.000) (multiplicity 4)
Tc (0.250, 0.250, 0.250) (multiplicity 4)
Cl (0.000, 0.000, 0.500) (multiplicity 4)

Calculated values
crystal system: cubic


Compound: SiTc2Cl
Source: the Alexandria database
Functional: PBE
Structure: optimized geometry

Cell: 2.8815 2.8815 24.0149 Å, 90.00 90.00 120.00°
Space group R-3m (No. 166, hexagonal axes)
Inequivalent atoms, fractional coordinates:
Si (0.0000, 0.0000, 0.0000) (multiplicity 3)
Tc (0.0000, 0.0000, 0.2532) (multiplicity 6)
Cl (0.0000, 0.0000, 0.5000) (multiplicity 3)

Calculated values
crystal system: trigonal


Compound: Si2TcCl
Source: the Alexandria database
Functional: PBE
Structure: optimized geometry

Cell: 2.765 4.347 11.009 Å, 90.00 90.00 90.00°
Space group Immm (No. 71)
Inequivalent atoms, fractional coordinates:
Si (0.000, 0.000, 0.200) (multiplicity 4)
Tc (0.000, 0.500, 0.500) (multiplicity 2)
Cl (0.000, 0.500, 0.000) (multiplicity 2)

Calculated values
crystal system: orthorhombic


Compound: SiTcCl
Source: the Alexandria database
Functional: PBE
Structure: optimized geometry

Cell: 2.899 3.763 11.778 Å, 90.00 90.00 90.00°
Space group Imm2 (No. 44)
Inequivalent atoms, fractional coordinates:
Si (0.000, 0.000, 0.000) (multiplicity 2)
Tc (0.000, 0.000, 0.544) (multiplicity 2)
Cl (0.000, 0.000, 0.736) (multiplicity 2)

Calculated values
crystal system: orthorhombic


Compound: SiTcCl2
Source: the Alexandria database
Functional: PBE
Structure: optimized geometry

Cell: 2.959 2.959 9.544 Å, 90.00 90.00 90.00°
Space group P4/mmm (No. 123)
Inequivalent atoms, fractional coordinates:
Si (0.000, 0.000, 0.000) (multiplicity 1)
Tc (0.000, 0.000, 0.500) (multiplicity 1)
Cl (0.500, 0.500, 0.339) (multiplicity 2)

Calculated values
crystal system: tetragonal


Compound: SiTcCl2
Source: the Alexandria database
Functional: PBE
Structure: optimized geometry

Cell: 3.003 4.353 5.406 Å, 90.00 90.00 90.00°
Space group Pmmm (No. 47)
Inequivalent atoms, fractional coordinates:
Si (0.000, 0.000, 0.000) (multiplicity 1)
Tc (0.500, 0.000, 0.500) (multiplicity 1)
Cl (0.000, 0.500, 0.500) (multiplicity 1)
Cl (0.500, 0.500, 0.000) (multiplicity 1)

Calculated values
crystal system: orthorhombic


Compound: Si2TcCl
Source: the Alexandria database
Functional: PBE
Structure: optimized geometry

Cell: 3.073 3.793 5.199 Å, 90.00 90.50 90.00°
Space group P2/m (No. 10)
Inequivalent atoms, fractional coordinates:
Si (0.000, 0.000, 0.236) (multiplicity 2)
Tc (0.500, 0.500, 0.000) (multiplicity 1)
Cl (0.500, 0.500, 0.500) (multiplicity 1)

Calculated values
crystal system: monoclinic


Compound: SiTc2Cl
Source: the Alexandria database
Functional: PBE
Structure: optimized geometry

Cell: 4.140 2.900 5.204 Å, 90.00 112.91 90.00°
Space group P2/m (No. 10)
Inequivalent atoms, fractional coordinates:
Si (0.000, 0.000, 0.000) (multiplicity 1)
Tc (0.500, 0.000, 0.500) (multiplicity 1)
Tc (0.500, 0.500, 0.000) (multiplicity 1)
Cl (0.000, 0.500, 0.500) (multiplicity 1)

Calculated values
crystal system: monoclinic


Compound: SiTcCl2
Source: the Alexandria database
Functional: PBE
Structure: optimized geometry

Cell: 3.1072 3.1072 31.2290 Å, 90.00 90.00 120.00°
Space group R-3m (No. 166, hexagonal axes)
Inequivalent atoms, fractional coordinates:
Si (0.0000, 0.0000, 0.0000) (multiplicity 3)
Tc (0.0000, 0.0000, 0.5000) (multiplicity 3)
Cl (0.0000, 0.0000, 0.2196) (multiplicity 6)

Calculated values
crystal system: trigonal


Compound: SiTc2Cl
Source: the Alexandria database
Functional: PBE
Structure: optimized geometry

Cell: 2.981 2.981 6.704 Å, 90.00 90.00 90.00°
Space group P4/mmm (No. 123)
Inequivalent atoms, fractional coordinates:
Si (0.000, 0.000, 0.000) (multiplicity 1)
Tc (0.500, 0.500, 0.204) (multiplicity 2)
Cl (0.000, 0.000, 0.500) (multiplicity 1)

Calculated values
crystal system: tetragonal


Compound: SiTc2Cl
Source: the Alexandria database
Functional: PBE
Structure: optimized geometry

Cell: 2.935 4.873 9.568 Å, 90.00 90.00 90.00°
Space group Cmm2 (No. 35)
Inequivalent atoms, fractional coordinates:
Si (0.000, 0.000, 0.000) (multiplicity 2)
Tc (0.000, 0.000, 0.556) (multiplicity 2)
Tc (0.000, 0.500, 0.787) (multiplicity 2)
Cl (0.000, 0.500, 0.353) (multiplicity 2)

Calculated values
crystal system: orthorhombic


Compound: Si2TcCl
Source: the Alexandria database
Functional: PBE
Structure: optimized geometry

Cell: 7.245 6.878 2.745 Å, 90.00 109.72 90.00°
Space group C2/m (No. 12)
Inequivalent atoms, fractional coordinates:
Si (0.250, 0.250, 0.000) (multiplicity 4)
Tc (0.000, 0.000, 0.500) (multiplicity 2)
Cl (0.000, 0.500, 0.500) (multiplicity 2)

Calculated values
crystal system: monoclinic


Compound: SiTcCl2
Source: the Alexandria database
Functional: PBE
Structure: optimized geometry

Cell: 4.151 4.151 7.545 Å, 90.00 90.00 90.00°
Space group I-4m2 (No. 119)
Inequivalent atoms, fractional coordinates:
Si (0.000, 0.000, 0.000) (multiplicity 2)
Tc (0.000, 0.500, 0.750) (multiplicity 2)
Cl (0.000, 0.000, 0.500) (multiplicity 2)
Cl (0.000, 0.500, 0.250) (multiplicity 2)

Calculated values
crystal system: tetragonal


Compound: SiTcCl3
Source: the Alexandria database
Functional: PBE
Structure: optimized geometry

Cell: 4.868 4.868 4.868 Å, 90.00 90.00 90.00°
Space group Pm-3m (No. 221)
Inequivalent atoms, fractional coordinates:
Si (0.000, 0.000, 0.000) (multiplicity 1)
Tc (0.500, 0.500, 0.500) (multiplicity 1)
Cl (0.000, 0.500, 0.500) (multiplicity 3)

Calculated values
crystal system: cubic


Compound: SiTcCl
Source: the Alexandria database
Functional: PBE
Structure: optimized geometry

Cell: 3.045 3.868 21.941 Å, 90.00 90.00 90.00°
Space group Immm (No. 71)
Inequivalent atoms, fractional coordinates:
Si (0.000, 0.000, 0.079) (multiplicity 4)
Tc (0.000, 0.000, 0.450) (multiplicity 4)
Cl (0.000, 0.000, 0.175) (multiplicity 4)

Calculated values
crystal system: orthorhombic


ΔE to the lowest computed polymorph readings, ordered: 0.217; 0.670; 0.000; 0.173; 0.729; 1.013; 0.155; 0.445; 0.498; 0.948; 0.797; 0.406; 0.362; 0.644; 0.146; 0.405; 0.329; 1.021; 0.000; 0.183 eV/atom